Entry from the Alexandria database: a geometry-optimized Sm2SiBC structure (PBE).

Summary:
DFT total energy: -0.493 Ry/atom
Space-group type: P2_1/m (11)

Lattice parameters (Å, degrees): 6.172 3.656 8.290 90.00 109.01 90.00
Fractional positions:
Sm  0.216  0.250  0.396
Sm  0.224  0.250  0.964
Sm  0.776  0.750  0.036
Sm  0.784  0.750  0.604
Si  0.341  0.750  0.706
Si  0.659  0.250  0.294
B  0.449  0.750  0.244
B  0.551  0.250  0.756
C  0.189  0.750  0.173
C  0.811  0.250  0.827